LiTl2RuF6: relaxed, GGA-PBE.

a b c (Å): 10.5644 10.5644 10.5644
angles (deg): 33.08 33.08 33.08
With the nearest neighbours (Å) after each atom.
Sites, in units of the cell vectors:
Li 0.0000 0.0000 0.0000  6 F 2.15
Li 0.5000 0.5000 0.5000  6 F 2.07
Tl 0.1271 0.1271 0.1271  12 F 3.02-3.17
Tl 0.2902 0.2902 0.2902  12 F 3.01-3.02
Tl 0.7098 0.7098 0.7098  12 F 3.01-3.02
Tl 0.8729 0.8729 0.8729  12 F 3.02-3.17
Ru 0.4117 0.4117 0.4117  6 F 2.03-2.04
Ru 0.5883 0.5883 0.5883  6 F 2.03-2.04
F 0.1542 0.6051 0.6051  1 Ru 2.03, 1 Li 2.07
F 0.2112 0.2112 0.6983  1 Ru 2.04, 1 Li 2.15
F 0.2112 0.6983 0.2112  1 Ru 2.04, 1 Li 2.15
F 0.3017 0.7888 0.7888  1 Ru 2.04, 1 Li 2.15
F 0.3949 0.3949 0.8458  1 Ru 2.03, 1 Li 2.07
F 0.3949 0.8458 0.3949  1 Ru 2.03, 1 Li 2.07
F 0.6051 0.1542 0.6051  1 Ru 2.03, 1 Li 2.07
F 0.6051 0.6051 0.1542  1 Ru 2.03, 1 Li 2.07
F 0.6983 0.2112 0.2112  1 Ru 2.04, 1 Li 2.15
F 0.7888 0.3017 0.7888  1 Ru 2.04, 1 Li 2.15
F 0.7888 0.7888 0.3017  1 Ru 2.04, 1 Li 2.15
F 0.8458 0.3949 0.3949  1 Ru 2.03, 1 Li 2.07

Computed properties:
ΔE_f (raw) = -1947 meV per atom

---

MgTi: relaxed, GGA-PBE.

a b c (Å): 4.8577 5.2367 5.2367
angles (deg): 118.20 90.00 90.00
With the nearest neighbours (Å) after each atom.
Sites, in units of the cell vectors:
Mg 0.0000 0.0000 0.0000  8 Ti 2.99-3.09, 4 Mg 3.02
Mg 0.5000 0.6525 0.9911  7 Ti 2.97-3.15, 5 Mg 3.02-3.06
Mg 0.5000 0.9911 0.6525  7 Ti 2.97-3.15, 5 Mg 3.02-3.06
Ti 0.0000 0.3320 0.6468  5 Ti 2.83-3.16, 7 Mg 2.99-3.09
Ti 0.0000 0.6468 0.3320  5 Ti 2.83-3.16, 7 Mg 2.99-3.09
Ti 0.5000 0.3343 0.3343  4 Ti 2.93, 8 Mg 2.97-3.15

---

LuTlInPb: relaxed, GGA-PBE.

a b c (Å): 5.4291 5.4291 5.4291
angles (deg): 60.00 60.00 60.00
With the nearest neighbours (Å) after each atom.
Sites, in units of the cell vectors:
Lu 0.0000 0.0000 0.0000  4 Tl 3.32, 4 In 3.32
Tl 0.7500 0.7500 0.7500  4 Pb 3.32, 4 Lu 3.32
In 0.2500 0.2500 0.2500  4 Pb 3.32, 4 Lu 3.32
Pb 0.5000 0.5000 0.5000  4 Tl 3.32, 4 In 3.32

---

Pr12In3Sn: relaxed, GGA-PBE.

a b c (Å): 5.0171 5.0171 20.0738
angles (deg): 90.00 90.00 90.00
With the nearest neighbours (Å) after each atom.
Sites, in units of the cell vectors:
Pr 0.0000 0.0000 0.0000  8 Pr 3.52, 4 Sn 3.55
Pr 0.0000 0.0000 0.2492  4 In 3.55, 8 Pr 3.55-3.56
Pr 0.0000 0.0000 0.5000  4 In 3.55, 8 Pr 3.56
Pr 0.0000 0.0000 0.7508  4 In 3.55, 8 Pr 3.55-3.56
Pr 0.0000 0.5000 0.1233  2 Sn 3.52, 8 Pr 3.52-3.56, 2 In 3.57
Pr 0.0000 0.5000 0.3744  4 In 3.55-3.56, 8 Pr 3.55-3.56
Pr 0.0000 0.5000 0.6256  4 In 3.55-3.56, 8 Pr 3.55-3.56
Pr 0.0000 0.5000 0.8767  2 Sn 3.52, 8 Pr 3.52-3.56, 2 In 3.57
Pr 0.5000 0.0000 0.1233  2 Sn 3.52, 8 Pr 3.52-3.56, 2 In 3.57
Pr 0.5000 0.0000 0.3744  4 In 3.55-3.56, 8 Pr 3.55-3.56
Pr 0.5000 0.0000 0.6256  4 In 3.55-3.56, 8 Pr 3.55-3.56
Pr 0.5000 0.0000 0.8767  2 Sn 3.52, 8 Pr 3.52-3.56, 2 In 3.57
In 0.5000 0.5000 0.2495  12 Pr 3.55-3.57
In 0.5000 0.5000 0.5000  12 Pr 3.55-3.56
In 0.5000 0.5000 0.7505  12 Pr 3.55-3.57
Sn 0.5000 0.5000 0.0000  12 Pr 3.52-3.55

---

BeInAs2: relaxed, GGA-PBE.

a b c (Å): 2.8932 2.8932 9.0869
angles (deg): 90.00 90.00 90.00
With the nearest neighbours (Å) after each atom.
Sites, in units of the cell vectors:
Be 0.0000 0.0000 0.0000  4 As 2.55
In 0.5000 0.5000 0.2309  4 In 2.89, 4 Be 2.93
As 0.0000 0.0000 0.5086  4 As 2.89
As 0.5000 0.5000 0.8331  4 Be 2.55

---

LuMgPa: relaxed, GGA-PBE.

a b c (Å): 3.2442 3.2442 8.5492
angles (deg): 90.00 90.00 120.00
With the nearest neighbours (Å) after each atom.
Sites, in units of the cell vectors:
Lu 0.0000 0.0000 0.0000  6 Lu 3.24, 3 Pa 3.39, 3 Mg 3.41
Mg 0.3333 0.6667 0.6668  6 Mg 3.24, 3 Lu 3.41, 3 Pa 3.43
Pa 0.6667 0.3333 0.3309  6 Pa 3.24, 3 Lu 3.39, 3 Mg 3.43

---

PmPuPaGa: relaxed, GGA-PBE.

a b c (Å): 5.1594 5.1594 5.1594
angles (deg): 60.00 60.00 60.00
With the nearest neighbours (Å) after each atom.
Sites, in units of the cell vectors:
Pm 0.0000 0.0000 0.0000  4 Pa 3.16, 4 Ga 3.16
Pu 0.5000 0.5000 0.5000  4 Pa 3.16, 4 Ga 3.16
Pa 0.7500 0.7500 0.7500  4 Pu 3.16, 4 Pm 3.16
Ga 0.2500 0.2500 0.2500  4 Pu 3.16, 4 Pm 3.16

---

CsBa2InO4: relaxed, GGA-PBE.

a b c (Å): 7.2423 7.2423 13.5548
angles (deg): 90.00 90.00 149.25
With the nearest neighbours (Å) after each atom.
Sites, in units of the cell vectors:
Cs 0.0864 0.9136 0.7500  8 O 3.28-3.60
Cs 0.9136 0.0864 0.2500  8 O 3.28-3.60
Ba 0.3715 0.6285 0.5325  5 O 2.62-2.84
Ba 0.3715 0.6285 0.9675  5 O 2.62-2.84
Ba 0.6285 0.3715 0.0325  5 O 2.62-2.84
Ba 0.6285 0.3715 0.4675  5 O 2.62-2.84
In 0.1824 0.8176 0.2500  4 O 2.05-2.21
In 0.8176 0.1824 0.7500  4 O 2.05-2.21
O 0.0000 0.0000 0.0000  4 Ba 2.67
O 0.0000 0.0000 0.5000  4 Ba 2.67
O 0.2535 0.7465 0.1177  1 In 2.05
O 0.2535 0.7465 0.3823  1 In 2.05
O 0.3960 0.6040 0.7500  2 In 2.21
O 0.6040 0.3960 0.2500  2 In 2.21
O 0.7465 0.2535 0.6177  1 In 2.05
O 0.7465 0.2535 0.8823  1 In 2.05

Computed properties:
ΔE_f (raw) = -1963 meV per atom

---

E_tot? In order: -0.1713 -0.1655 -0.1248 -0.1717 -0.1287 -0.1865 -0.2871 -0.1974 hartree per atom.